# 1
Below is Ti2BeMoH after structural relaxation, with properties calculated at the PBE-GGA level.

Lattice parameters (Å, degrees): 4.086 4.086 3.662 90.00 90.00 90.00
Space group P4/mmm (No. 123)
Inequivalent atoms, fractional coordinates:
Ti 0.000 0.500 0.000
Be 0.000 0.000 0.500
Mo 0.500 0.500 0.500
H 0.500 0.500 0.000

Values from the calculation:
electronic total energy = -34.285 eV for the cell shown
distance to the lowest polymorph of the same formula = 60 meV per atom
calculated volume = 61.1 Å³ per cell



# 2
Below is KBa2S after structural relaxation, with properties calculated at the PBE-GGA level.

Lattice parameters (Å, degrees): 9.861 9.861 9.716 90.00 90.00 90.00
Space group I-42d (No. 122)
Inequivalent atoms, fractional coordinates:
K 0.000 0.000 0.000
Ba 0.130 0.250 0.625
S 0.000 0.000 0.500

Values from the calculation:
E_form (uncorrected) = -0.752 eV per atom
electronic total energy = -48.316 eV for the cell shown
calculated volume = 944.7 Å³ per cell



# 3
Below is MgSnBi2 after structural relaxation, with properties calculated at the PBE-GGA level.

Lattice parameters (Å, degrees): 4.4721 4.4721 21.1066 90.00 90.00 120.00
Space group R-3m (No. 166, hexagonal axes)
Inequivalent atoms, fractional coordinates:
Mg 0.0000 0.0000 0.0000
Sn 0.0000 0.0000 0.5000
Bi 0.0000 0.0000 0.2554

Values from the calculation:
formation energy from the elements = 20 meV/atom
electronic total energy = -39.843 eV for the cell shown
calculated volume = 365.6 Å³ per cell



# 4
Below is RbAs2Ir2 after structural relaxation, with properties calculated at the PBE-GGA level.

Lattice parameters (Å, degrees): 3.964 3.964 7.372 90.00 90.00 90.00
Space group P4/mmm (No. 123)
Inequivalent atoms, fractional coordinates:
Rb 0.000 0.000 0.000
As 0.500 0.500 0.288
Ir 0.000 0.500 0.500

Values from the calculation:
formation energy from the elements = -180 meV/atom
electronic total energy = -28.890 eV for the cell shown
calculated volume = 115.9 Å³ per cell



# 5
Below is ScAl2Rh after structural relaxation, with properties calculated at the PBE-GGA level.

Lattice parameters (Å, degrees): 3.0798 3.0798 25.6005 90.00 90.00 120.00
Space group R-3m (No. 166, hexagonal axes)
Inequivalent atoms, fractional coordinates:
Sc 0.0000 0.0000 0.0000
Al 0.0000 0.0000 0.2381
Rh 0.0000 0.0000 0.5000

Values from the calculation:
formation energy from the elements = -422 meV/atom
electronic total energy = -68.564 eV for the cell shown
calculated volume = 210.3 Å³ per cell



# 6
Below is PuScGaSn after structural relaxation, with properties calculated at the PBE-GGA level.

Lattice parameters (Å, degrees): 7.175 7.175 7.175 90.00 90.00 90.00
Space group F-43m (No. 216)
Inequivalent atoms, fractional coordinates:
Pu 0.000 0.000 0.000
Sc 0.000 0.000 0.500
Ga 0.250 0.250 0.750
Sn 0.250 0.250 0.250

Values from the calculation:
formation energy from the elements = -389 meV/atom
electronic total energy = -117.001 eV for the cell shown
calculated volume = 369.4 Å³ per cell



# 7
Below is FeSi2Mo after structural relaxation, with properties calculated at the PBE-GGA level.

Lattice parameters (Å, degrees): 2.7627 2.7627 23.6171 90.00 90.00 120.00
Space group R-3m (No. 166, hexagonal axes)
Inequivalent atoms, fractional coordinates:
Fe 0.0000 0.0000 0.0000
Si 0.0000 0.0000 0.2591
Mo 0.0000 0.0000 0.5000

Values from the calculation:
E_form (uncorrected) = -0.118 eV per atom
electronic total energy = -91.834 eV for the cell shown
calculated volume = 156.1 Å³ per cell



# 8
Below is CaErCu2Ge2 after structural relaxation, with properties calculated at the PBE-GGA level.

Lattice parameters (Å, degrees): 4.2734 4.2734 7.4555 90.00 90.00 120.00
Space group P-3m1 (No. 164)
Inequivalent atoms, fractional coordinates:
Ca 0.0000 0.0000 0.0000
Er 0.0000 0.0000 0.5000
Cu 0.3333 0.6667 0.7267
Ge 0.3333 0.6667 0.2730

Values from the calculation:
formation energy from the elements = -573 meV/atom
electronic total energy = -27.429 eV for the cell shown
calculated volume = 117.9 Å³ per cell



# 9
Below is Tm3Ga2Si after structural relaxation, with properties calculated at the PBE-GGA level.

Lattice parameters (Å, degrees): 11.613 3.996 11.692 90.00 90.00 90.00
Space group Pnma (No. 62)
Inequivalent atoms, fractional coordinates:
Tm 0.059 0.250 0.123
Tm 0.117 0.750 0.554
Tm 0.212 0.250 0.789
Ga 0.014 0.750 0.309
Ga 0.188 0.750 0.993
Si 0.131 0.250 0.370

Values from the calculation:
E_form (uncorrected) = -0.614 eV per atom
electronic total energy = -114.310 eV for the cell shown
calculated volume = 542.6 Å³ per cell



# 10
Below is Tb2CoGe after structural relaxation, with properties calculated at the PBE-GGA level.

Lattice parameters (Å, degrees): 3.6664 3.6664 27.3666 90.00 90.00 120.00
Space group R-3m (No. 166, hexagonal axes)
Inequivalent atoms, fractional coordinates:
Tb 0.0000 0.0000 0.1087
Co 0.0000 0.0000 0.5000
Ge 0.0000 0.0000 0.0000

Values from the calculation:
formation energy from the elements = 133 meV/atom
electronic total energy = -61.350 eV for the cell shown
calculated volume = 318.6 Å³ per cell



# 11
Below is SrY3Ir after structural relaxation, with properties calculated at the PBE-GGA level.

Lattice parameters (Å, degrees): 6.531 10.370 10.017 90.00 90.00 90.00
Space group Pnma (No. 62)
Inequivalent atoms, fractional coordinates:
Sr 0.000 0.000 0.000
Y 0.008 0.090 0.334
Y 0.134 0.750 0.347
Ir 0.193 0.250 0.108

Values from the calculation:
formation energy from the elements = -99 meV/atom
electronic total energy = -121.719 eV for the cell shown
distance to the lowest polymorph of the same formula = 271 meV per atom
calculated volume = 678.3 Å³ per cell



# 12
Below is AcMg6Pb12 after structural relaxation, with properties calculated at the PBE-GGA level.

Lattice parameters (Å, degrees): 14.1228 14.1228 10.0061 90.00 90.00 120.00
Space group R-3m (No. 166, hexagonal axes)
Inequivalent atoms, fractional coordinates:
Ac 0.0000 0.0000 0.0000
Mg 0.0571 0.5285 0.2308
Pb 0.0000 0.3880 0.5000
Pb 0.0810 0.1619 0.2956

Values from the calculation:
formation energy from the elements = -8 meV/atom
electronic total energy = -174.970 eV for the cell shown
calculated volume = 1728.4 Å³ per cell



# 13
Below is Er6Tl6Sn after structural relaxation, with properties calculated at the PBE-GGA level.

Lattice parameters (Å, degrees): 6.4782 6.4782 10.2197 90.00 90.00 120.00
Space group P6/mmm (No. 191)
Inequivalent atoms, fractional coordinates:
Er 0.0000 0.0000 0.1895
Er 0.3333 0.6667 0.0000
Er 0.3333 0.6667 0.5000
Tl 0.0000 0.5000 0.2495
Sn 0.0000 0.0000 0.5000

Values from the calculation:
formation energy from the elements = -174 meV/atom
electronic total energy = -47.845 eV for the cell shown
calculated volume = 371.4 Å³ per cell



# 14
Below is Gd2ZnHg after structural relaxation, with properties calculated at the PBE-GGA level.

Lattice parameters (Å, degrees): 3.666 3.666 7.438 90.00 90.00 90.00
Space group P4/mmm (No. 123)
Inequivalent atoms, fractional coordinates:
Gd 0.000 0.000 0.235
Zn 0.500 0.500 0.000
Hg 0.500 0.500 0.500

Values from the calculation:
formation energy from the elements = -427 meV/atom
electronic total energy = -31.445 eV for the cell shown
distance to the lowest polymorph of the same formula = 0 meV per atom
calculated volume = 100.0 Å³ per cell



# 15
Below is Pm8Te4Ir3S after structural relaxation, with properties calculated at the PBE-GGA level.

Lattice parameters (Å, degrees): 8.4707 8.4707 22.1948 90.00 90.00 120.00
Space group R-3m (No. 166, hexagonal axes)
Inequivalent atoms, fractional coordinates:
Pm 0.0000 0.0000 0.2363
Pm 0.0094 0.5047 0.7631
Te 0.0000 0.0000 0.0000
Te 0.0000 0.5000 0.0000
Ir 0.0000 0.5000 0.5000
S 0.0000 0.0000 0.5000

Values from the calculation:
E_form (uncorrected) = -1.204 eV per atom
electronic total energy = -301.618 eV for the cell shown
calculated volume = 1379.2 Å³ per cell



# 16
Below is MnZn2InBr after structural relaxation, with properties calculated at the PBE-GGA level.

Lattice parameters (Å, degrees): 5.094 5.094 5.438 90.00 90.00 90.00
Space group P4/mmm (No. 123)
Inequivalent atoms, fractional coordinates:
Mn 0.000 0.000 0.000
Zn 0.000 0.500 0.500
In 0.000 0.000 0.500
Br 0.500 0.500 0.000

Values from the calculation:
E_form (uncorrected) = 0.419 eV per atom
electronic total energy = -14.031 eV for the cell shown
calculated volume = 141.1 Å³ per cell



# 17
Below is LaDy5Mg4 after structural relaxation, with properties calculated at the PBE-GGA level.

Lattice parameters (Å, degrees): 3.759 3.759 20.301 90.00 90.00 90.00
Space group P4/mmm (No. 123)
Inequivalent atoms, fractional coordinates:
La 0.000 0.000 0.000
Dy 0.500 0.500 0.124
Dy 0.500 0.500 0.312
Dy 0.500 0.500 0.500
Mg 0.000 0.000 0.218
Mg 0.000 0.000 0.406

Values from the calculation:
formation energy from the elements = -54 meV/atom
electronic total energy = -34.859 eV for the cell shown
calculated volume = 286.9 Å³ per cell



# 18
Below is CaSi2Ni after structural relaxation, with properties calculated at the PBE-GGA level.

Lattice parameters (Å, degrees): 4.685 4.685 15.218 90.00 90.00 90.00
Space group I4_1/amd (No. 141, origin choice 2)
Inequivalent atoms, fractional coordinates:
Ca 0.000 0.250 0.375
Si 0.000 0.000 0.000
Ni 0.000 0.250 0.875

Values from the calculation:
E_form (uncorrected) = -0.298 eV per atom
electronic total energy = -79.287 eV for the cell shown
calculated volume = 334.0 Å³ per cell



# 19
Below is Si2TcI after structural relaxation, with properties calculated at the PBE-GGA level.

Lattice parameters (Å, degrees): 6.527 6.527 6.527 90.00 90.00 90.00
Space group Fm-3m (No. 225)
Inequivalent atoms, fractional coordinates:
Si 0.250 0.250 0.250
Tc 0.000 0.000 0.000
I 0.000 0.000 0.500

Values from the calculation:
E_form (uncorrected) = 1.137 eV per atom
electronic total energy = -72.850 eV for the cell shown
distance to the lowest polymorph of the same formula = 528 meV per atom
calculated volume = 278.1 Å³ per cell



# 20
Below is LaBe2Ga after structural relaxation, with properties calculated at the PBE-GGA level.

Lattice parameters (Å, degrees): 6.482 6.482 6.482 90.00 90.00 90.00
Space group Fm-3m (No. 225)
Inequivalent atoms, fractional coordinates:
La 0.000 0.000 0.000
Be 0.250 0.250 0.250
Ga 0.000 0.000 0.500

Values from the calculation:
formation energy from the elements = 96 meV/atom
electronic total energy = -60.095 eV for the cell shown
distance to the lowest polymorph of the same formula = 137 meV per atom
calculated volume = 272.4 Å³ per cell



Number 1: D(E_F) 4.0 states/eV/cell. Number 2: D(E_F) 13.4 states/eV/cell. Number 3: D(E_F) 6.5 states/eV/cell. Number 4: D(E_F) 5.8 states/eV/cell. Number 5: D(E_F) 9.8 states/eV/cell. Number 6: D(E_F) 37.6 states/eV/cell. Number 7: D(E_F) 11.3 states/eV/cell. Number 8: D(E_F) 3.8 states/eV/cell. Number 9: D(E_F) 11.6 states/eV/cell. Number 10: D(E_F) 10.7 states/eV/cell. Number 11: D(E_F) 20.8 states/eV/cell. Number 12: D(E_F) 31.8 states/eV/cell. Number 13: D(E_F) 9.3 states/eV/cell. Number 14: D(E_F) 3.8 states/eV/cell. Number 15: D(E_F) 31.2 states/eV/cell. Number 16: D(E_F) 0.8 states/eV/cell. Number 17: D(E_F) 14.4 states/eV/cell. Number 18: D(E_F) 5.3 states/eV/cell. Number 19: D(E_F) 15.4 states/eV/cell. Number 20: D(E_F) 4.6 states/eV/cell.